# K3Pr3WO8

K3Pr3WO8 after structural relaxation (GGA+U, Alexandria).

Cell lengths 7.1359, 7.1359, 7.5442 Å; angles 118.22, 118.22, 60.32 degrees
Element x y z (fractional)
1 K 0.0000 0.0000 0.0000
2 K 0.0000 0.5000 0.0000
3 K 0.5000 0.0000 0.0000
4 Pr 0.0000 0.5000 0.5000
5 Pr 0.5000 0.0000 0.5000
6 Pr 0.5000 0.5000 0.5000
7 W 0.0000 0.0000 0.5000
8 O 0.2050 0.2050 0.6743
9 O 0.2093 0.7582 0.6749
10 O 0.2418 0.7907 0.3251
11 O 0.2685 0.2685 0.3083
12 O 0.7315 0.7315 0.6917
13 O 0.7582 0.2093 0.6749
14 O 0.7907 0.2418 0.3251
15 O 0.7950 0.7950 0.3257

Computed properties:
Raw total energy ... -6.758 eV per atom
Mass density ... 5.06 g/cm3
Size of the total moment ... 2.0 μB/f.u.
Crystal system ... monoclinic